Entry 1:
First-principles (PBE-GGA) data for MnSi after structural relaxation, as listed in the Alexandria database.

Output
As for the uncorrected formation energy: 0.094 eV per atom. The total energy comes out at -7.20 eV per atom.

Unit cell a=4.1835 b=7.1997 c=13.0331 alpha=90.00 beta=90.00 gamma=90.00
Space group Fddd (No. 70, origin choice 2)
Symmetry-distinct sites (fractional):
Mn 0.1250 0.1250 0.0411 [16 per cell]
Si 0.1250 0.2907 0.6250 [16 per cell]

Entry 2:
First-principles (PBE-GGA) data for YCr2Mo after structural relaxation, as listed in the Alexandria database.

Output
The value obtained for the formation energy is 0.355 eV per atom. The total energy comes out at -8.78 eV per atom. The calculation puts the energy above the most stable polymorph in this dataset at 0 meV/atom.

Unit cell a=3.1511 b=3.1511 c=6.9212 alpha=90.00 beta=90.00 gamma=90.00
Space group P4/mmm (No. 123)
Symmetry-distinct sites (fractional):
Y 0.0000 0.0000 0.0000 [1 per cell]
Cr 0.5000 0.5000 0.3010 [2 per cell]
Mo 0.0000 0.0000 0.5000 [1 per cell]

Entry 3:
First-principles (PBE-GGA) data for LiZnAgPd2 after structural relaxation, as listed in the Alexandria database.

Output
The value obtained for the formation energy is 0.225 eV per atom. The total energy comes out at -3.06 eV per atom.

Unit cell a=4.6958 b=4.6958 c=4.8017 alpha=90.00 beta=90.00 gamma=90.00
Space group P4/mmm (No. 123)
Symmetry-distinct sites (fractional):
Li 0.0000 0.0000 0.0000 [1 per cell]
Zn 0.5000 0.5000 0.5000 [1 per cell]
Ag 0.5000 0.5000 0.0000 [1 per cell]
Pd 0.0000 0.5000 0.5000 [2 per cell]

Entry 4:
First-principles (PBE-GGA) data for Nd6GeTe3Pb2 after structural relaxation, as listed in the Alexandria database.

Output
As for the uncorrected formation energy: -1.084 eV per atom. The total energy comes out at -5.26 eV per atom.

Unit cell a=19.6832 b=4.4832 c=9.0702 alpha=90.00 beta=103.53 gamma=90.00
Space group C2/m (No. 12)
Symmetry-distinct sites (fractional):
Nd 0.0004 0.0000 0.2297 [4 per cell]
Nd 0.1583 0.5000 0.0811 [4 per cell]
Nd 0.1668 0.5000 0.5806 [4 per cell]
Ge 0.0000 0.5000 0.0000 [2 per cell]
Te 0.0000 0.5000 0.5000 [2 per cell]
Te 0.1684 0.0000 0.8346 [4 per cell]
Pb 0.1664 0.0000 0.3326 [4 per cell]

Entry 5:
First-principles (PBE-GGA) data for LiCr3Rh after structural relaxation, as listed in the Alexandria database.

Output
The value obtained for the formation energy is 1.115 eV per atom. The total energy comes out at -6.51 eV per atom. The calculation puts the energy above the most stable polymorph in this dataset at 0 meV/atom.

Unit cell a=4.8046 b=4.8046 c=4.8046 alpha=90.00 beta=90.00 gamma=90.00
Space group Pm-3m (No. 221)
Symmetry-distinct sites (fractional):
Li 0.0000 0.0000 0.0000 [1 per cell]
Cr 0.0000 0.5000 0.5000 [3 per cell]
Rh 0.5000 0.5000 0.5000 [1 per cell]

Entry 6:
First-principles (PBE-GGA) data for Zr8TlH6 after structural relaxation, as listed in the Alexandria database.

Output
The total energy comes out at -6.32 eV per atom.

Unit cell a=9.0642 b=9.0642 c=9.5034 alpha=90.00 beta=90.00 gamma=120.00
Space group R-3 (No. 148, hexagonal axes)
Symmetry-distinct sites (fractional):
Zr 0.0000 0.0000 0.1676 [6 per cell]
Zr 0.0010 0.3429 0.3947 [18 per cell]
Tl 0.0000 0.0000 0.5000 [3 per cell]
H 0.0726 0.2387 0.9009 [18 per cell]

Entry 7:
First-principles (PBE-GGA) data for Pr2HoTl after structural relaxation, as listed in the Alexandria database.

Output
The value obtained for the formation energy is -0.072 eV per atom. The total energy comes out at -4.20 eV per atom. The calculation puts the energy above the most stable polymorph in this dataset at 122 meV/atom.

Unit cell a=7.9416 b=7.9416 c=7.9416 alpha=90.00 beta=90.00 gamma=90.00
Space group Fm-3m (No. 225)
Symmetry-distinct sites (fractional):
Pr 0.2500 0.2500 0.2500 [8 per cell]
Ho 0.0000 0.0000 0.0000 [4 per cell]
Tl 0.0000 0.0000 0.5000 [4 per cell]

Entry 8:
First-principles (PBE-GGA) data for In2NiAg after structural relaxation, as listed in the Alexandria database.

Output
The value obtained for the formation energy is 0.212 eV per atom. The total energy comes out at -3.32 eV per atom. The calculation puts the energy above the most stable polymorph in this dataset at 245 meV/atom.

Unit cell a=6.6958 b=6.6958 c=6.6958 alpha=90.00 beta=90.00 gamma=90.00
Space group F-43m (No. 216)
Symmetry-distinct sites (fractional):
In 0.0000 0.0000 0.0000 [4 per cell]
In 0.2500 0.2500 0.2500 [4 per cell]
Ni 0.2500 0.2500 0.7500 [4 per cell]
Ag 0.0000 0.0000 0.5000 [4 per cell]

Entry 9:
First-principles (PBE-GGA) data for Mn4Fe6Os after structural relaxation, as listed in the Alexandria database.

Output
The value obtained for the formation energy is 0.382 eV per atom. The total energy comes out at -8.59 eV per atom.

Unit cell a=8.1123 b=8.1123 c=4.8563 alpha=90.00 beta=90.00 gamma=120.00
Space group P6_3mc (No. 186)
Symmetry-distinct sites (fractional):
Mn 0.1445 0.2891 0.0000 [6 per cell]
Mn 0.3333 0.6667 0.7037 [2 per cell]
Fe 0.0095 0.5047 0.8066 [6 per cell]
Fe 0.1871 0.3741 0.4963 [6 per cell]
Os 0.3333 0.6667 0.1773 [2 per cell]

Entry 10:
First-principles (PBE-GGA) data for Li3GaPd3 after structural relaxation, as listed in the Alexandria database.

Output
The value obtained for the formation energy is -0.514 eV per atom. The total energy comes out at -3.99 eV per atom. The calculation puts the energy above the most stable polymorph in this dataset at 0 meV/atom.

Unit cell a=8.3622 b=8.8593 c=5.8309 alpha=90.00 beta=90.00 gamma=90.00
Space group Cmmm (No. 65)
Symmetry-distinct sites (fractional):
Li 0.0000 0.2421 0.0000 [4 per cell]
Li 0.2180 0.0000 0.5000 [4 per cell]
Li 0.2354 0.0000 0.0000 [4 per cell]
Ga 0.0000 0.2700 0.5000 [4 per cell]
Pd 0.0000 0.5000 0.2409 [4 per cell]
Pd 0.2500 0.2500 0.2503 [8 per cell]

What did the fifth record say?
First-principles (PBE-GGA) data for LiCr3Rh after structural relaxation, as listed in the Alexandria database.

Output
The value obtained for the formation energy is 1.115 eV per atom. The total energy comes out at -6.51 eV per atom. The calculation puts the energy above the most stable polymorph in this dataset at 0 meV/atom.

Unit cell a=4.8046 b=4.8046 c=4.8046 alpha=90.00 beta=90.00 gamma=90.00
Space group Pm-3m (No. 221)
Symmetry-distinct sites (fractional):
Li 0.0000 0.0000 0.0000 [1 per cell]
Cr 0.0000 0.5000 0.5000 [3 per cell]
Rh 0.5000 0.5000 0.5000 [1 per cell]